--- A ---
# K3YRu (PBE-GGA, optimized geometry)
data_K3YRu
_chemical_formula_sum 'K3 Y1 Ru1'
_cell_length_a 6.711
_cell_length_b 6.711
_cell_length_c 6.711
_cell_angle_alpha 90.00
_cell_angle_beta 90.00
_cell_angle_gamma 90.00
_symmetry_space_group_name_H-M 'P m -3 m'
_symmetry_Int_Tables_number 221
_symmetry_space_group_name_Hall '-P 4 2 3'
loop_
_atom_site_label
_atom_site_fract_x
_atom_site_fract_y
_atom_site_fract_z
K1 0.000 0.000 0.500
Y1 0.000 0.000 0.000
Ru1 0.500 0.500 0.500
# M_tot in μB per cell: 0.00



--- B ---
# K3YRu (PBE-GGA, optimized geometry)
data_K3YRu
_chemical_formula_sum 'K3 Y1 Ru1'
_cell_length_a 6.027
_cell_length_b 6.027
_cell_length_c 6.027
_cell_angle_alpha 90.00
_cell_angle_beta 90.00
_cell_angle_gamma 90.00
_symmetry_space_group_name_H-M 'P m -3 m'
_symmetry_Int_Tables_number 221
_symmetry_space_group_name_Hall '-P 4 2 3'
loop_
_atom_site_label
_atom_site_fract_x
_atom_site_fract_y
_atom_site_fract_z
K1 0.000 0.000 0.500
Y1 0.500 0.500 0.500
Ru1 0.000 0.000 0.000
# M_tot in μB per cell: 0.75



Least stable of them? A.